Compound: ZnHg2Te2
Source: Alexandria
Functional: PBE
Structure: optimized geometry

Results
**Uncorrected energy**: -1.45 eV per atom
**D(E_F)**: 0.83 states/eV per cell
**Total magnetic moment**: 0.0 μB/f.u.
**Space group**: I4/mmm, No. 139
**Formation energy without anion corrections**: 17.11 kJ/mol of atoms

Lattice parameters (Å, degrees): 4.655 4.655 8.195 73.50 73.50 90.00
Positions (direct):
Zn 0.000 0.000 0.000
Te 0.374 0.374 0.253
Te 0.626 0.626 0.747
Hg 0.750 0.250 0.500
Hg 0.250 0.750 0.500

---

Compound: Zn2HgTe2
Source: Alexandria
Functional: PBE
Structure: optimized geometry

Results
**Uncorrected energy**: -2.08 eV per atom
**D(E_F)**: 0.00 states/eV per cell
**Total magnetic moment**: 0.0 μB/f.u.
**Space group**: I4/mmm, No. 139
**Formation energy without anion corrections**: -24.68 kJ/mol of atoms

Lattice parameters (Å, degrees): 4.286 4.286 9.224 76.57 76.57 90.00
Positions (direct):
Zn 0.750 0.250 0.500
Zn 0.250 0.750 0.500
Te 0.347 0.347 0.306
Te 0.653 0.653 0.694
Hg 0.000 0.000 0.000

---

Compound: ZnHgTe
Source: Alexandria
Functional: PBE
Structure: optimized geometry

Results
**Uncorrected energy**: -1.41 eV per atom
**D(E_F)**: 1.25 states/eV per cell
**Total magnetic moment**: 0.0 μB/f.u.
**Space group**: P3m1, No. 156
**Formation energy without anion corrections**: 15.62 kJ/mol of atoms

Lattice parameters (Å, degrees): 5.245 5.245 3.192 90.00 90.00 120.00
Positions (direct):
Hg 0.000 0.000 0.999
Te 0.667 0.333 0.499
Zn 0.333 0.667 0.502

---

Compound: ZnHg2Te
Source: Alexandria
Functional: PBE
Structure: optimized geometry

Results
**Uncorrected energy**: -1.17 eV per atom
**D(E_F)**: 1.45 states/eV per cell
**Total magnetic moment**: 0.0 μB/f.u.
**Space group**: Cmm2, No. 35
**Formation energy without anion corrections**: 8.60 kJ/mol of atoms

Lattice parameters (Å, degrees): 3.506 3.506 9.232 90.00 90.00 110.74
Positions (direct):
Hg 0.000 0.000 0.965
Hg 0.500 0.500 0.233
Te 0.000 0.000 0.550
Zn 0.500 0.500 0.752

---

Compound: ZnHg2Te
Source: Alexandria
Functional: PBE
Structure: optimized geometry

Results
**Uncorrected energy**: -1.25 eV per atom
**D(E_F)**: 1.21 states/eV per cell
**Total magnetic moment**: 0.0 μB/f.u.
**Space group**: Immm, No. 71
**Formation energy without anion corrections**: 0.06 kJ/mol of atoms

Lattice parameters (Å, degrees): 7.459 7.459 7.459 149.00 148.84 44.53
Positions (direct):
Hg 0.045 0.045 0.000
Hg 0.455 0.455 0.000
Te 0.750 0.250 0.500
Zn 0.250 0.750 0.500

---

Compound: ZnHg2Te
Source: Alexandria
Functional: PBE
Structure: optimized geometry

Results
**Uncorrected energy**: -1.33 eV per atom
**D(E_F)**: 0.51 states/eV per cell
**Total magnetic moment**: 0.0 μB/f.u.
**Space group**: R3m, No. 160
**Formation energy without anion corrections**: -7.73 kJ/mol of atoms

Lattice parameters (Å, degrees): 7.916 7.916 7.916 31.34 31.34 31.34
Positions (direct):
Hg 0.009 0.009 0.009
Hg 0.254 0.254 0.254
Te 0.473 0.473 0.473
Zn 0.764 0.764 0.764

---

Compound: ZnHg4Te
Source: Alexandria
Functional: PBE
Structure: optimized geometry

Results
**Uncorrected energy**: -0.65 eV per atom
**D(E_F)**: 4.47 states/eV per cell
**Total magnetic moment**: 0.0 μB/f.u.
**Space group**: F-43m, No. 216
**Formation energy without anion corrections**: 27.68 kJ/mol of atoms

Lattice parameters (Å, degrees): 6.144 6.144 6.144 60.00 60.00 60.00
Positions (direct):
Zn 0.000 0.000 0.000
Hg 0.875 0.375 0.375
Hg 0.375 0.375 0.875
Hg 0.375 0.875 0.375
Hg 0.375 0.375 0.375
Te 0.750 0.750 0.750

---

Compound: ZnHgTe
Source: Alexandria
Functional: PBE
Structure: optimized geometry

Results
**Uncorrected energy**: -1.71 eV per atom
**Total magnetic moment**: 0.0 μB/f.u.
**Space group**: P3m1, No. 156
**Formation energy without anion corrections**: -12.82 kJ/mol of atoms

Lattice parameters (Å, degrees): 4.336 4.336 6.365 90.00 90.00 120.00
Positions (direct):
Hg 0.000 0.000 0.977
Te 0.667 0.333 0.458
Zn 0.333 0.667 0.565

---

Compound: ZnHgTe
Source: Alexandria
Functional: PBE
Structure: optimized geometry

Results
**Uncorrected energy**: -1.58 eV per atom
**Total magnetic moment**: 0.0 μB/f.u.
**Space group**: F-43m, No. 216
**Formation energy without anion corrections**: -0.38 kJ/mol of atoms

Lattice parameters (Å, degrees): 4.831 4.831 4.831 60.00 60.00 60.00
Positions (direct):
Hg 0.000 0.000 0.000
Te 0.500 0.500 0.500
Zn 0.750 0.750 0.750

---

Compound: ZnHg2Te
Source: Alexandria
Functional: PBE
Structure: optimized geometry

Results
**Uncorrected energy**: -1.07 eV per atom
**D(E_F)**: 2.54 states/eV per cell
**Total magnetic moment**: 0.0 μB/f.u.
**Space group**: Fm-3m, No. 225
**Formation energy without anion corrections**: 18.07 kJ/mol of atoms

Lattice parameters (Å, degrees): 5.252 5.252 5.252 60.00 60.00 60.00
Positions (direct):
Zn 0.000 0.000 0.000
Te 0.500 0.500 0.500
Hg 0.250 0.250 0.250
Hg 0.750 0.750 0.750

---

Compound: ZnHgTe4
Source: Alexandria
Functional: PBE
Structure: optimized geometry

Results
**Uncorrected energy**: -2.01 eV per atom
**D(E_F)**: 7.33 states/eV per cell
**Total magnetic moment**: 0.0 μB/f.u.
**Space group**: F-43m, No. 216
**Formation energy without anion corrections**: 33.62 kJ/mol of atoms

Lattice parameters (Å, degrees): 6.428 6.428 6.428 60.00 60.00 60.00
Positions (direct):
Zn 0.750 0.750 0.750
Hg 0.000 0.000 0.000
Te 0.873 0.376 0.376
Te 0.376 0.376 0.873
Te 0.376 0.873 0.376
Te 0.376 0.376 0.376

---

Compound: ZnHgTe
Source: Alexandria
Functional: PBE
Structure: optimized geometry

Results
**Uncorrected energy**: -1.46 eV per atom
**D(E_F)**: 1.33 states/eV per cell
**Total magnetic moment**: 0.0 μB/f.u.
**Space group**: Fmm2, No. 42
**Formation energy without anion corrections**: 10.39 kJ/mol of atoms

Lattice parameters (Å, degrees): 7.097 6.757 3.592 80.28 69.80 29.92
Positions (direct):
Hg 0.017 0.017 0.983
Te 0.312 0.312 0.688
Zn 0.671 0.671 0.329